# MgSc2Te4 | Alexandria via LeMat-Bulk | PBE-GGA | optimized geometry
# Formation energy without anion corrections ... -1.036 eV/atom
# Mass density ... 5.138 g cm⁻³
# Fermi-level density of states ... 0.582 states/eV/cell
# Offset from the most stable computed form ... 79 meV/atom
data_MgSc2Te4
_cell_length_a 7.079
_cell_length_b 7.079
_cell_length_c 14.523
_cell_angle_alpha 90.00
_cell_angle_beta 90.00
_cell_angle_gamma 146.31
_symmetry_space_group_name_H-M 'P 1'
_symmetry_Int_Tables_number 1
loop_
_symmetry_equiv_pos_as_xyz
'x,y,z'
loop_
_atom_site_label
_atom_site_type_symbol
_atom_site_fract_x
_atom_site_fract_y
_atom_site_fract_z
_atom_site_occupancy
Mg1 Mg 0.111 0.889 0.750 1
Mg2 Mg 0.889 0.111 0.250 1
Sc1 Sc 0.366 0.634 0.569 1
Sc2 Sc 0.366 0.634 0.931 1
Sc3 Sc 0.634 0.366 0.069 1
Sc4 Sc 0.634 0.366 0.431 1
Te1 Te 0.000 0.000 0.000 1
Te2 Te 0.000 0.000 0.500 1
Te3 Te 0.277 0.723 0.119 1
Te4 Te 0.277 0.723 0.381 1
Te5 Te 0.462 0.538 0.750 1
Te6 Te 0.538 0.462 0.250 1
Te7 Te 0.723 0.277 0.619 1
Te8 Te 0.723 0.277 0.881 1

---

# Bi2BrCl2 | Alexandria via LeMat-Bulk | PBE-GGA | optimized geometry
# Formation energy without anion corrections ... -0.337 eV/atom
# Mass density ... 6.574 g cm⁻³
# Fermi-level density of states ... 7.728 states/eV/cell
data_Bi2BrCl2
_cell_length_a 7.913
_cell_length_b 7.913
_cell_length_c 4.589
_cell_angle_alpha 90.00
_cell_angle_beta 90.00
_cell_angle_gamma 90.00
_symmetry_space_group_name_H-M 'P 1'
_symmetry_Int_Tables_number 1
loop_
_symmetry_equiv_pos_as_xyz
'x,y,z'
loop_
_atom_site_label
_atom_site_type_symbol
_atom_site_fract_x
_atom_site_fract_y
_atom_site_fract_z
_atom_site_occupancy
Bi1 Bi 0.137 0.363 0.000 1
Bi2 Bi 0.363 0.863 0.000 1
Bi3 Bi 0.637 0.137 0.000 1
Bi4 Bi 0.863 0.637 0.000 1
Br1 Br 0.000 0.000 0.000 1
Br2 Br 0.500 0.500 0.000 1
Cl1 Cl 0.167 0.667 0.500 1
Cl2 Cl 0.333 0.167 0.500 1
Cl3 Cl 0.667 0.833 0.500 1
Cl4 Cl 0.833 0.333 0.500 1

---

# Li2TcSe | Alexandria via LeMat-Bulk | PBE-GGA | optimized geometry
# Formation energy without anion corrections ... 0.051 eV/atom
# Mass density ... 5.205 g cm⁻³
# Fermi-level density of states ... 7.007 states/eV/cell
data_Li2TcSe
_cell_length_a 2.815
_cell_length_b 2.815
_cell_length_c 26.619
_cell_angle_alpha 90.00
_cell_angle_beta 90.00
_cell_angle_gamma 120.00
_symmetry_space_group_name_H-M 'P 1'
_symmetry_Int_Tables_number 1
loop_
_symmetry_equiv_pos_as_xyz
'x,y,z'
loop_
_atom_site_label
_atom_site_type_symbol
_atom_site_fract_x
_atom_site_fract_y
_atom_site_fract_z
_atom_site_occupancy
Li1 Li 0.000 0.000 0.247 1
Li2 Li 0.000 0.000 0.753 1
Li3 Li 0.333 0.667 0.419 1
Li4 Li 0.333 0.667 0.914 1
Li5 Li 0.667 0.333 0.086 1
Li6 Li 0.667 0.333 0.581 1
Tc1 Tc 0.000 0.000 0.000 1
Tc2 Tc 0.333 0.667 0.667 1
Tc3 Tc 0.667 0.333 0.333 1
Se1 Se 0.000 0.000 0.500 1
Se2 Se 0.333 0.667 0.167 1
Se3 Se 0.667 0.333 0.833 1

---

# Ce2CuNi9 | Alexandria via LeMat-Bulk | PBE-GGA | optimized geometry
# Energy of formation ... -15.3 kJ/mol of atoms
# Mass density ... 8.715 g cm⁻³
# Fermi-level density of states ... 13.517 states/eV/cell
data_Ce2CuNi9
_cell_length_a 8.576
_cell_length_b 8.576
_cell_length_c 8.576
_cell_angle_alpha 32.96
_cell_angle_beta 32.96
_cell_angle_gamma 32.96
_symmetry_space_group_name_H-M 'P 1'
_symmetry_Int_Tables_number 1
loop_
_symmetry_equiv_pos_as_xyz
'x,y,z'
loop_
_atom_site_label
_atom_site_type_symbol
_atom_site_fract_x
_atom_site_fract_y
_atom_site_fract_z
_atom_site_occupancy
Ce1 Ce 0.131 0.131 0.131 1
Ce2 Ce 0.869 0.869 0.869 1
Cu1 Cu 0.000 0.000 0.000 1
Ni1 Ni 0.080 0.582 0.582 1
Ni2 Ni 0.333 0.333 0.333 1
Ni3 Ni 0.418 0.418 0.920 1
Ni4 Ni 0.418 0.920 0.418 1
Ni5 Ni 0.500 0.500 0.500 1
Ni6 Ni 0.582 0.080 0.582 1
Ni7 Ni 0.582 0.582 0.080 1
Ni8 Ni 0.667 0.667 0.667 1
Ni9 Ni 0.920 0.418 0.418 1